{"formula": "CaTm3Sn2", "functional": "PBE-GGA", "state": "optimized geometry", "formation_energy_kj_per_mol_atoms": -40.4, "n_ef_per_ev_fu": 6.44, "final_energy_ev_per_cell": -51.9, "sg": "C2/m", "magmom_total_mub_per_atom": 0.14, "lattice_angstrom": [[4.640, 0.000, 0.000], [-2.320, 10.120, -0.501], [0.000, -5.077, 7.839]], "species": ["Tm", "Tm", "Sn", "Sn", "Tm", "Sn", "Ca", "Ca", "Tm", "Sn", "Tm", "Tm"], "frac_coords": [[0.693, 0.386, 0.500], [0.643, 0.287, 0.803], [0.759, 0.519, 0.231], [0.509, 0.018, 0.172], [0.357, 0.713, 0.197], [0.491, 0.982, 0.828], [0.888, 0.776, 0.905], [0.112, 0.224, 0.095], [0.307, 0.614, 0.500], [0.241, 0.481, 0.769], [0.056, 0.112, 0.422], [0.944, 0.888, 0.578]]}